This record from Alexandria via LeMat-Bulk describes Na2Y2Re after structural relaxation. The functional is PBE.

As for the spin magnetization: 0.754 μB per formula unit. The calculated volume is 32.35 Å³/atom. The value obtained for the total energy is -4.935 eV/atom. The calculation puts the energy relative to the elements at 0.667 eV/atom.

The structure belongs to space group P4/mbm (No. 127); the cell edges are 7.2997, 7.2997 and 6.0714 Å and the angles 90.00°, 90.00° and 90.00°. The inequivalent atoms are Na at (0.1705, 0.3295, 0.0000), Y at (0.1757, 0.6757, 0.5000) and Re at (0.0000, 0.0000, 0.5000).